The following is a PBE with a Hubbard U calculation of a relaxed structure of MoPRuO2, from the Alexandria database.

It has space group P4/mmm (No. 123), with a = 3.7599 Å, b = 3.7599 Å, c = 5.5191 Å, α = 90.00°, β = 90.00° and γ = 90.00°. The inequivalent atoms are Mo at (0.0000, 0.0000, 0.0000), P at (0.0000, 0.0000, 0.5000), Ru at (0.5000, 0.5000, 0.5000) and O at (0.0000, 0.5000, 0.0000).

The mass density comes out at 5.5 Mg/m³. The value obtained for the polymorph energy (0 for the lowest one) is 0 meV per atom.